# CeDyZrSc

CeDyZrSc after structural relaxation (GGA-PBE, Alexandria via LeMat-Bulk).

Output
N(E_F)	32.741	states/eV per cell
final energy	-6.1836	eV/atom
mass density	6.82	g cm⁻³
calculated formation energy	0.7	eV/f.u.

Cell and atoms, written as CIF:
```
data_CeDyZrSc
_chemical_formula_sum 'Ce4 Dy4 Zr4 Sc4'
_space_group_name_H-M_alt 'F -4 3 m'
_space_group_IT_number 216
_space_group_name_Hall 'F -4 2 3'
_cell_length_a 7.531
_cell_length_b 7.531
_cell_length_c 7.531
_cell_angle_alpha 90.00
_cell_angle_beta 90.00
_cell_angle_gamma 90.00
loop_
_atom_site_label
_atom_site_fract_x
_atom_site_fract_y
_atom_site_fract_z
Ce1 0.000 0.000 0.000
Dy1 0.000 0.000 0.500
Zr1 0.250 0.250 0.750
Sc1 0.250 0.250 0.250
```